Material: K2V2Hg
Method: DFT, PBE
State: optimized geometry

Geometry as CIF:
```
data_K2V2Hg
_cell_length_a 4.236
_cell_length_b 4.236
_cell_length_c 8.013
_cell_angle_alpha 74.68
_cell_angle_beta 74.68
_cell_angle_gamma 90.00
_space_group_name_H-M_alt 'P 1'
_space_group_IT_number 1
loop_
_space_group_symop_operation_xyz
'x,y,z'
loop_
_atom_site_label
_atom_site_fract_x
_atom_site_fract_y
_atom_site_fract_z
K1 0.750 0.250 0.500
K2 0.250 0.750 0.500
Hg1 0.000 0.000 0.000
V1 0.439 0.439 0.122
V2 0.561 0.561 0.878
```

DFT total energy (eV/atom): -3.141
ρ (g/cm3): 4.74
Magnetic moment (μB per formula unit): 0.00
Formation energy from the elements (meV/atom): 1006

=====

Material: KHgW
Method: DFT, PBE
State: optimized geometry

Geometry as CIF:
```
data_KHgW
_cell_length_a 2.965
_cell_length_b 2.965
_cell_length_c 8.689
_cell_angle_alpha 90.00
_cell_angle_beta 90.00
_cell_angle_gamma 120.00
_space_group_name_H-M_alt 'P 1'
_space_group_IT_number 1
loop_
_space_group_symop_operation_xyz
'x,y,z'
loop_
_atom_site_label
_atom_site_fract_x
_atom_site_fract_y
_atom_site_fract_z
Hg1 0.000 0.000 0.981
K1 0.333 0.667 0.333
W1 0.667 0.333 0.686
```

DFT total energy (eV/atom): -3.717
ρ (g/cm3): 10.63
Magnetic moment (μB per formula unit): 0.37
Formation energy from the elements (meV/atom): 1067

=====

Material: K4HgW
Method: DFT, PBE
State: optimized geometry

Geometry as CIF:
```
data_K4HgW
_cell_length_a 7.304
_cell_length_b 7.304
_cell_length_c 7.304
_cell_angle_alpha 60.00
_cell_angle_beta 60.00
_cell_angle_gamma 60.00
_space_group_name_H-M_alt 'P 1'
_space_group_IT_number 1
loop_
_space_group_symop_operation_xyz
'x,y,z'
loop_
_atom_site_label
_atom_site_fract_x
_atom_site_fract_y
_atom_site_fract_z
K1 0.873 0.376 0.376
K2 0.376 0.376 0.873
K3 0.376 0.873 0.376
K4 0.376 0.376 0.376
Hg1 0.000 0.000 0.000
W1 0.750 0.750 0.750
```

DFT total energy (eV/atom): -1.768
ρ (g/cm3): 3.26
Magnetic moment (μB per formula unit): 5.06
Formation energy from the elements (meV/atom): 1173

=====

Material: KHgW
Method: DFT, PBE
State: optimized geometry

Geometry as CIF:
```
data_KHgW
_cell_length_a 5.526
_cell_length_b 5.526
_cell_length_c 5.526
_cell_angle_alpha 60.00
_cell_angle_beta 60.00
_cell_angle_gamma 60.00
_space_group_name_H-M_alt 'P 1'
_space_group_IT_number 1
loop_
_space_group_symop_operation_xyz
'x,y,z'
loop_
_atom_site_label
_atom_site_fract_x
_atom_site_fract_y
_atom_site_fract_z
Hg1 0.500 0.500 0.500
K1 0.750 0.750 0.750
W1 0.000 0.000 0.000
```

DFT total energy (eV/atom): -2.654
ρ (g/cm3): 5.89
Magnetic moment (μB per formula unit): 5.07
Formation energy from the elements (meV/atom): 2130

=====

Material: KHgW
Method: DFT, PBE
State: optimized geometry

Geometry as CIF:
```
data_KHgW
_cell_length_a 8.934
_cell_length_b 8.778
_cell_length_c 2.865
_cell_angle_alpha 83.78
_cell_angle_beta 77.63
_cell_angle_gamma 18.59
_space_group_name_H-M_alt 'P 1'
_space_group_IT_number 1
loop_
_space_group_symop_operation_xyz
'x,y,z'
loop_
_atom_site_label
_atom_site_fract_x
_atom_site_fract_y
_atom_site_fract_z
Hg1 0.010 0.010 0.990
K1 0.333 0.333 0.667
W1 0.657 0.657 0.343
```

DFT total energy (eV/atom): -3.721
ρ (g/cm3): 10.55
Magnetic moment (μB per formula unit): 0.26
Formation energy from the elements (meV/atom): 1063

=====

Material: KHg4W
Method: DFT, PBE
State: optimized geometry

Geometry as CIF:
```
data_KHg4W
_cell_length_a 6.023
_cell_length_b 6.023
_cell_length_c 6.023
_cell_angle_alpha 60.00
_cell_angle_beta 60.00
_cell_angle_gamma 60.00
_space_group_name_H-M_alt 'P 1'
_space_group_IT_number 1
loop_
_space_group_symop_operation_xyz
'x,y,z'
loop_
_atom_site_label
_atom_site_fract_x
_atom_site_fract_y
_atom_site_fract_z
K1 0.750 0.750 0.750
Hg1 0.876 0.375 0.375
Hg2 0.375 0.375 0.876
Hg3 0.375 0.876 0.375
Hg4 0.375 0.375 0.375
W1 0.000 0.000 0.000
```

DFT total energy (eV/atom): -1.725
ρ (g/cm3): 11.02
Magnetic moment (μB per formula unit): 4.53
Formation energy from the elements (meV/atom): 818

=====

Material: KHgW
Method: DFT, PBE
State: optimized geometry

Geometry as CIF:
```
data_KHgW
_cell_length_a 6.878
_cell_length_b 6.878
_cell_length_c 6.878
_cell_angle_alpha 156.63
_cell_angle_beta 140.26
_cell_angle_gamma 46.61
_space_group_name_H-M_alt 'P 1'
_space_group_IT_number 1
loop_
_space_group_symop_operation_xyz
'x,y,z'
loop_
_atom_site_label
_atom_site_fract_x
_atom_site_fract_y
_atom_site_fract_z
Hg1 0.053 0.053 0.000
K1 0.336 0.336 0.000
W1 0.611 0.611 0.000
```

DFT total energy (eV/atom): -3.662
ρ (g/cm3): 8.55
Magnetic moment (μB per formula unit): 0.24
Formation energy from the elements (meV/atom): 1122

=====

Material: KHgW
Method: DFT, PBE
State: optimized geometry

Geometry as CIF:
```
data_KHgW
_cell_length_a 8.570
_cell_length_b 8.570
_cell_length_c 8.570
_cell_angle_alpha 160.85
_cell_angle_beta 160.85
_cell_angle_gamma 27.21
_space_group_name_H-M_alt 'P 1'
_space_group_IT_number 1
loop_
_space_group_symop_operation_xyz
'x,y,z'
loop_
_atom_site_label
_atom_site_fract_x
_atom_site_fract_y
_atom_site_fract_z
Hg1 0.014 0.014 0.000
K1 0.333 0.333 0.000
W1 0.653 0.653 0.000
```

DFT total energy (eV/atom): -3.720
ρ (g/cm3): 10.39
Magnetic moment (μB per formula unit): 0.37
Formation energy from the elements (meV/atom): 1065

=====

Material: KYHg2
Method: DFT, PBE
State: optimized geometry

Geometry as CIF:
```
data_KYHg2
_cell_length_a 8.516
_cell_length_b 8.516
_cell_length_c 7.120
_cell_angle_alpha 53.28
_cell_angle_beta 53.28
_cell_angle_gamma 90.00
_space_group_name_H-M_alt 'P 1'
_space_group_IT_number 1
loop_
_space_group_symop_operation_xyz
'x,y,z'
loop_
_atom_site_label
_atom_site_fract_x
_atom_site_fract_y
_atom_site_fract_z
Y1 0.000 0.000 0.000
Y2 0.750 0.250 0.500
K1 0.500 0.500 0.000
K2 0.250 0.750 0.500
Hg1 0.654 0.125 0.250
Hg2 0.096 0.625 0.250
Hg3 0.375 0.346 0.750
Hg4 0.875 0.904 0.750
```

DFT total energy (eV/atom): -2.009
ρ (g/cm3): 6.38
Magnetic moment (μB per formula unit): 0.00
Formation energy from the elements (meV/atom): 32

=====

Material: KYHg4
Method: DFT, PBE
State: optimized geometry

Geometry as CIF:
```
data_KYHg4
_cell_length_a 6.110
_cell_length_b 6.110
_cell_length_c 6.110
_cell_angle_alpha 60.00
_cell_angle_beta 60.00
_cell_angle_gamma 60.00
_space_group_name_H-M_alt 'P 1'
_space_group_IT_number 1
loop_
_space_group_symop_operation_xyz
'x,y,z'
loop_
_atom_site_label
_atom_site_fract_x
_atom_site_fract_y
_atom_site_fract_z
K1 0.750 0.750 0.750
Y1 0.000 0.000 0.000
Hg1 0.876 0.375 0.375
Hg2 0.375 0.375 0.876
Hg3 0.375 0.876 0.375
Hg4 0.375 0.375 0.375
```

DFT total energy (eV/atom): -1.541
ρ (g/cm3): 9.58
Magnetic moment (μB per formula unit): 0.00
Formation energy from the elements (meV/atom): -79

=====

Material: KY4Hg
Method: DFT, PBE
State: optimized geometry

Geometry as CIF:
```
data_KY4Hg
_cell_length_a 6.656
_cell_length_b 6.656
_cell_length_c 6.656
_cell_angle_alpha 60.00
_cell_angle_beta 60.00
_cell_angle_gamma 60.00
_space_group_name_H-M_alt 'P 1'
_space_group_IT_number 1
loop_
_space_group_symop_operation_xyz
'x,y,z'
loop_
_atom_site_label
_atom_site_fract_x
_atom_site_fract_y
_atom_site_fract_z
K1 0.000 0.000 0.000
Y1 0.870 0.377 0.377
Y2 0.377 0.377 0.870
Y3 0.377 0.870 0.377
Y4 0.377 0.377 0.377
Hg1 0.750 0.750 0.750
```

DFT total energy (eV/atom): -4.082
ρ (g/cm3): 4.74
Magnetic moment (μB per formula unit): 0.00
Formation energy from the elements (meV/atom): 461

=====

Material: KYHg2
Method: DFT, PBE
State: optimized geometry

Geometry as CIF:
```
data_KYHg2
_cell_length_a 6.341
_cell_length_b 6.341
_cell_length_c 5.433
_cell_angle_alpha 89.93
_cell_angle_beta 89.93
_cell_angle_gamma 33.12
_space_group_name_H-M_alt 'P 1'
_space_group_IT_number 1
loop_
_space_group_symop_operation_xyz
'x,y,z'
loop_
_atom_site_label
_atom_site_fract_x
_atom_site_fract_y
_atom_site_fract_z
Hg1 0.038 0.038 0.875
Hg2 0.221 0.221 0.375
K1 0.483 0.483 0.375
Y1 0.757 0.757 0.875
```

DFT total energy (eV/atom): -2.240
ρ (g/cm3): 7.36
Magnetic moment (μB per formula unit): 0.00
Formation energy from the elements (meV/atom): -199

=====

Material: KY4Hg5
Method: DFT, PBE
State: optimized geometry

Geometry as CIF:
```
data_KY4Hg5
_cell_length_a 3.754
_cell_length_b 3.754
_cell_length_c 19.567
_cell_angle_alpha 90.00
_cell_angle_beta 90.00
_cell_angle_gamma 90.00
_space_group_name_H-M_alt 'P 1'
_space_group_IT_number 1
loop_
_space_group_symop_operation_xyz
'x,y,z'
loop_
_atom_site_label
_atom_site_fract_x
_atom_site_fract_y
_atom_site_fract_z
K1 0.000 0.000 0.000
Y1 0.000 0.000 0.215
Y2 0.000 0.000 0.406
Y3 0.000 0.000 0.594
Y4 0.000 0.000 0.785
Hg1 0.500 0.500 0.130
Hg2 0.500 0.500 0.311
Hg3 0.500 0.500 0.500
Hg4 0.500 0.500 0.689
Hg5 0.500 0.500 0.870
```

DFT total energy (eV/atom): -3.282
ρ (g/cm3): 8.42
Magnetic moment (μB per formula unit): 0.00
Formation energy from the elements (meV/atom): -435

=====

Material: KYHg2
Method: DFT, PBE
State: optimized geometry

Geometry as CIF:
```
data_KYHg2
_cell_length_a 6.384
_cell_length_b 6.384
_cell_length_c 6.384
_cell_angle_alpha 137.70
_cell_angle_beta 137.70
_cell_angle_gamma 61.37
_space_group_name_H-M_alt 'P 1'
_space_group_IT_number 1
loop_
_space_group_symop_operation_xyz
'x,y,z'
loop_
_atom_site_label
_atom_site_fract_x
_atom_site_fract_y
_atom_site_fract_z
Hg1 0.000 0.000 0.000
Hg2 0.250 0.750 0.500
K1 0.500 0.500 0.000
Y1 0.750 0.250 0.500
```

DFT total energy (eV/atom): -2.060
ρ (g/cm3): 7.54
Magnetic moment (μB per formula unit): 0.00
Formation energy from the elements (meV/atom): -19